# SCAN Mg, PBEsol geometry
data_Mg
_space_group_name_H-M_alt 'I m -3 m'
_space_group_IT_number 229
_space_group_name_Hall '-I 4 2 3'
_cell_length_a 3.5586
_cell_length_b 3.5586
_cell_length_c 3.5586
_cell_angle_alpha 90.00
_cell_angle_beta 90.00
_cell_angle_gamma 90.00
loop_
_atom_site_label
_atom_site_type_symbol
_atom_site_fract_x
_atom_site_fract_y
_atom_site_fract_z
Mg1 Mg 0.0000 0.0000 0.0000
# Volume ... 22.53 Å³/atom
# Formation energy ... 0.04 eV/atom
# M_tot ... 0.00 μB per formula unit

***

# SCAN La2MoW, PBEsol geometry
data_La2MoW
_space_group_name_H-M_alt 'P 4/m m m'
_space_group_IT_number 123
_space_group_name_Hall '-P 4 2'
_cell_length_a 4.0059
_cell_length_b 4.0059
_cell_length_c 5.3241
_cell_angle_alpha 90.00
_cell_angle_beta 90.00
_cell_angle_gamma 90.00
loop_
_atom_site_label
_atom_site_type_symbol
_atom_site_fract_x
_atom_site_fract_y
_atom_site_fract_z
La1 La 0.0000 0.5000 0.0000
Mo1 Mo 0.0000 0.0000 0.5000
W1 W 0.5000 0.5000 0.5000
# Volume ... 21.36 Å³/atom
# Formation energy ... 0.94 eV/atom
# M_tot ... 0.00 μB per formula unit

***

# SCAN KCaIN2, PBEsol geometry
data_KCaIN2
_space_group_name_H-M_alt 'P 4/m m m'
_space_group_IT_number 123
_space_group_name_Hall '-P 4 2'
_cell_length_a 4.8122
_cell_length_b 4.8122
_cell_length_c 6.0551
_cell_angle_alpha 90.00
_cell_angle_beta 90.00
_cell_angle_gamma 90.00
loop_
_atom_site_label
_atom_site_type_symbol
_atom_site_fract_x
_atom_site_fract_y
_atom_site_fract_z
K1 K 0.0000 0.0000 0.0000
Ca1 Ca 0.5000 0.5000 0.5000
I1 I 0.0000 0.0000 0.5000
N1 N 0.0000 0.5000 0.0000
# Volume ... 28.04 Å³/atom
# M_tot ... 4.00 μB per formula unit
# Formation energy (no corrections) ... 0.998 eV per atom

***

# SCAN Mg2GeRh2, PBEsol geometry
data_Mg2GeRh2
_space_group_name_H-M_alt 'P 4/m b m'
_space_group_IT_number 127
_space_group_name_Hall '-P 4 2ab'
_cell_length_a 6.2260
_cell_length_b 6.2260
_cell_length_c 4.2253
_cell_angle_alpha 90.00
_cell_angle_beta 90.00
_cell_angle_gamma 90.00
loop_
_atom_site_label
_atom_site_type_symbol
_atom_site_fract_x
_atom_site_fract_y
_atom_site_fract_z
Mg1 Mg 0.1625 0.3375 0.0000
Ge1 Ge 0.0000 0.0000 0.5000
Rh1 Rh 0.1488 0.6488 0.5000
# Volume ... 16.38 Å³/atom
# Formation energy ... -0.68 eV/atom
# M_tot ... 0.00 μB per formula unit

***

# SCAN CdFeBr2, PBEsol geometry
data_CdFeBr2
_space_group_name_H-M_alt 'P 1 2/m 1'
_space_group_IT_number 10
_cell_length_a 3.4423
_cell_length_b 3.3898
_cell_length_c 9.0209
_cell_angle_alpha 90.00
_cell_angle_beta 98.43
_cell_angle_gamma 90.00
loop_
_space_group_symop_operation_xyz
'x,y,z'
'-x,-y,-z'
'-x,y,-z'
'x,-y,z'
loop_
_atom_site_label
_atom_site_type_symbol
_atom_site_fract_x
_atom_site_fract_y
_atom_site_fract_z
Cd1 Cd 0.0000 0.0000 0.0000
Fe1 Fe 0.5000 0.0000 0.5000
Br1 Br 0.3999 0.5000 0.6872
# Volume ... 26.03 Å³/atom
# M_tot ... 3.80 μB per formula unit
# Formation energy (no corrections) ... -0.197 eV per atom

***

# SCAN CrTcW2, PBEsol geometry
data_CrTcW2
_space_group_name_H-M_alt 'I m m 2'
_space_group_IT_number 44
_cell_length_a 3.0588
_cell_length_b 4.3162
_cell_length_c 8.6351
_cell_angle_alpha 90.00
_cell_angle_beta 90.00
_cell_angle_gamma 90.00
loop_
_space_group_symop_operation_xyz
'x,y,z'
'-x,-y,z'
'-x,y,z'
'x,-y,z'
'x+1/2,y+1/2,z+1/2'
'-x+1/2,-y+1/2,z+1/2'
'-x+1/2,y+1/2,z+1/2'
'x+1/2,-y+1/2,z+1/2'
loop_
_atom_site_label
_atom_site_type_symbol
_atom_site_fract_x
_atom_site_fract_y
_atom_site_fract_z
Cr1 Cr 0.0000 0.0000 0.0000
Tc1 Tc 0.0000 0.5000 0.7541
W1 W 0.0000 0.0000 0.5074
W2 W 0.0000 0.5000 0.2595
# Volume ... 14.25 Å³/atom
# Formation energy ... 0.03 eV/atom
# M_tot ... 0.00 μB per formula unit